Li3V3O5F3: optimized geometry, GGA+U.

Cell and atoms, written as POSCAR:
```
Li3V3O5F3
1.0
-6.2183 -0.0092 0.1010
3.0388 5.1471 -0.0377
0.0592 -3.3408 -4.9514
Li V O F
3 3 5 3
Cartesian
-3.8550 3.5751 0.0673
-3.9626 0.7807 -1.1807
-0.7986 0.4788 -3.0668
-2.2523 -2.0512 -3.0045
-0.7864 2.1241 -0.6086
-2.4706 3.1253 -2.9200
-0.7286 -1.3479 -1.9967
-2.2127 1.5791 -1.9900
-2.1302 -0.6263 -4.3275
0.5544 1.5309 -1.9152
0.7348 -0.6971 -4.2526
-3.8960 -1.2275 -1.8256
2.3271 2.2048 -4.2714
-0.7953 2.2984 -4.1873
```

## Properties
volume	11.29	A^3/atom
DFT total energy	-6.433	eV per atom